Record 1
Zr2CuTe: optimized geometry, PBE.

a b c (Å): 4.886 4.886 4.886
angles (deg): 60.00 60.00 60.00
Each line ends with the local moment (μB).
Fractional coordinates of all 4 atoms:
Zr 0.750 0.750 0.750  0.44
Zr 0.000 0.000 0.000  0.34
Te 0.250 0.250 0.250  -0.03
Cu 0.500 0.500 0.500  0.02

Values from the calculation:
spin magnetization	0.25	μB per atom
raw formation energy	233	meV/atom
space-group type	F-43m (216)
DFT total energy	-5.850	eV per atom

Record 2
Zr2CuTe: optimized geometry, PBE.

a b c (Å): 3.570 3.576 7.306
angles (deg): 60.52 90.00 90.00
Fractional coordinates of all 4 atoms:
Zr 0.000 0.512 0.489
Zr 0.000 0.988 0.011
Cu 0.500 0.250 0.250
Te 0.500 0.750 0.750

Values from the calculation:
spin magnetization	0.00	μB per atom
raw formation energy	-324	meV/atom
space-group type	P2/m (10)
DFT total energy	-6.407	eV per atom

Record 3
ZrCuTe: optimized geometry, PBE.

a b c (Å): 4.247 4.247 10.134
angles (deg): 77.90 77.90 60.00
Fractional coordinates of all 6 atoms:
Zr 0.553 0.553 0.342
Zr 0.447 0.447 0.658
Cu 0.173 0.173 0.482
Cu 0.827 0.827 0.518
Te 0.272 0.272 0.183
Te 0.728 0.728 0.817

Values from the calculation:
spin magnetization	0.01	μB per atom
raw formation energy	-483	meV/atom
space-group type	R-3m (166)
DFT total energy	-5.745	eV per atom
distance to the lowest polymorph of the same formula	0	meV per atom

Record 4
ZrCuTe: optimized geometry, PBE.

a b c (Å): 3.873 3.873 15.026
angles (deg): 90.00 90.00 120.00
Fractional coordinates of all 9 atoms:
Te 0.667 0.333 0.405
Te 0.000 0.000 0.071
Te 0.333 0.667 0.738
Zr 0.667 0.333 0.610
Zr 0.333 0.667 0.943
Zr 0.000 0.000 0.276
Cu 0.333 0.667 0.170
Cu 0.667 0.333 0.836
Cu 0.000 0.000 0.503

Values from the calculation:
spin magnetization	0.00	μB per atom
raw formation energy	-336	meV/atom
space-group type	R3m (160)
DFT total energy	-5.598	eV per atom
distance to the lowest polymorph of the same formula	147	meV per atom

Record 5
ZrCuTe: optimized geometry, PBE.

a b c (Å): 4.518 4.518 4.518
angles (deg): 60.00 60.00 60.00
Fractional coordinates of all 3 atoms:
Zr 0.500 0.500 0.500
Cu 0.750 0.750 0.750
Te 0.000 0.000 0.000

Values from the calculation:
spin magnetization	0.00	μB per atom
raw formation energy	88	meV/atom
space-group type	F-43m (216)
DFT total energy	-5.174	eV per atom
distance to the lowest polymorph of the same formula	572	meV per atom

Record 6
Zr2CuTe: optimized geometry, PBE.

a b c (Å): 5.593 5.593 5.593
angles (deg): 136.74 136.74 62.84
Fractional coordinates of all 4 atoms:
Te 0.750 0.250 0.500
Cu 0.500 0.500 0.000
Zr 0.250 0.750 0.500
Zr 0.000 0.000 0.000

Values from the calculation:
spin magnetization	0.00	μB per atom
raw formation energy	-203	meV/atom
space-group type	I-4m2 (119)
DFT total energy	-6.287	eV per atom

Record 7
Zr2Cu2Te: optimized geometry, PBE.

a b c (Å): 7.430 7.430 3.724
angles (deg): 90.00 90.00 90.00
Fractional coordinates of all 10 atoms:
Zr 0.160 0.340 0.000
Zr 0.660 0.160 0.000
Zr 0.340 0.840 0.000
Zr 0.840 0.660 0.000
Cu 0.123 0.623 0.500
Cu 0.877 0.377 0.500
Cu 0.377 0.123 0.500
Cu 0.623 0.877 0.500
Te 0.000 0.000 0.000
Te 0.500 0.500 0.000

Values from the calculation:
spin magnetization	0.00	μB per atom
raw formation energy	-92	meV/atom
space-group type	P4/mbm (127)
DFT total energy	-5.778	eV per atom
distance to the lowest polymorph of the same formula	129	meV per atom

Record 8
Zr2CuTe: optimized geometry, PBE.

a b c (Å): 3.962 3.782 5.760
angles (deg): 70.79 90.00 90.00
Fractional coordinates of all 4 atoms:
Zr 0.500 0.280 0.316
Zr 0.000 0.958 0.961
Cu 0.000 0.708 0.457
Te 0.500 0.555 0.766

Values from the calculation:
spin magnetization	0.00	μB per atom
raw formation energy	-443	meV/atom
space-group type	Pm (6)
DFT total energy	-6.527	eV per atom

Record 9
Zr2CuTe: optimized geometry, PBE.

a b c (Å): 3.758 3.754 5.998
angles (deg): 90.00 90.00 90.00
Fractional coordinates of all 4 atoms:
Zr 0.000 0.000 0.992
Zr 0.500 0.500 0.278
Te 0.500 0.500 0.766
Cu 0.000 0.000 0.464

Values from the calculation:
spin magnetization	0.00	μB per atom
raw formation energy	-302	meV/atom
space-group type	P4mm (99)
DFT total energy	-6.386	eV per atom

Record 10
Th2Cu3: optimized geometry, PBE.

a b c (Å): 3.622 4.301 13.571
angles (deg): 90.00 97.67 90.00
Fractional coordinates of all 10 atoms:
Cu 0.023 0.250 0.047
Cu 0.117 0.250 0.233
Cu 0.832 0.250 0.664
Cu 0.883 0.750 0.767
Cu 0.977 0.750 0.953
Cu 0.168 0.750 0.336
Th 0.707 0.250 0.413
Th 0.429 0.250 0.858
Th 0.571 0.750 0.142
Th 0.293 0.750 0.587

Values from the calculation:
energy of formation	-0.165	eV/atom
spin magnetization	0.00	μB per atom
space-group type	Cmcm (63)
DFT total energy	-5.590	eV per atom

Record 11
Th3Cu8: optimized geometry, PBE.

a b c (Å): 3.707 4.222 13.225
angles (deg): 99.18 98.06 90.00
Fractional coordinates of all 11 atoms:
Th 0.000 0.000 0.000
Th 0.149 0.649 0.298
Th 0.851 0.351 0.702
Cu 0.598 0.098 0.196
Cu 0.402 0.902 0.804
Cu 0.307 0.807 0.614
Cu 0.548 0.548 0.097
Cu 0.254 0.254 0.508
Cu 0.452 0.452 0.903
Cu 0.693 0.193 0.386
Cu 0.746 0.746 0.492

Values from the calculation:
energy of formation	-0.142	eV/atom
spin magnetization	0.00	μB per atom
space-group type	Immm (71)
DFT total energy	-5.144	eV per atom

Record 12
ThCu3: optimized geometry, PBE.

a b c (Å): 4.254 5.303 6.707
angles (deg): 90.00 90.00 113.65
Fractional coordinates of all 8 atoms:
Cu 0.869 0.738 0.439
Cu 0.131 0.262 0.561
Cu 0.869 0.738 0.061
Cu 0.709 0.418 0.750
Cu 0.291 0.582 0.250
Cu 0.131 0.262 0.939
Th 0.582 0.164 0.250
Th 0.418 0.836 0.750

Values from the calculation:
energy of formation	-0.171	eV/atom
spin magnetization	0.00	μB per atom
space-group type	Cmcm (63)
DFT total energy	-5.098	eV per atom

Record 13
Th2Cu: optimized geometry, PBE.

a b c (Å): 5.919 5.919 5.919
angles (deg): 103.58 103.58 122.03
Fractional coordinates of all 6 atoms:
Cu 0.750 0.750 0.000
Cu 0.250 0.250 0.000
Th 0.161 0.661 0.822
Th 0.839 0.339 0.178
Th 0.661 0.839 0.500
Th 0.339 0.161 0.500

Values from the calculation:
energy of formation	-0.091	eV/atom
spin magnetization	0.00	μB per atom
space-group type	I4/mcm (140)
DFT total energy	-6.403	eV per atom